! PBE KNi2H, optimized geometry; values from VASP
&SYSTEM
  ibrav = 0, nat = 8, ntyp = 3
/
ATOMIC_SPECIES
K 39.10 K.upf
Ni 58.69 Ni.upf
H 1.01 H.upf
CELL_PARAMETERS angstrom
0.000 3.840 3.840
3.840 0.000 3.840
3.840 3.840 0.000
ATOMIC_POSITIONS angstrom
K 0.960 0.960 0.960
K 6.720 6.720 6.720
Ni 3.840 1.920 1.920
Ni 1.920 3.840 1.920
Ni 1.920 1.920 3.840
Ni 3.840 3.840 3.840
H 2.880 2.880 2.880
H 4.800 4.800 4.800
! * calculated total energy: -3.71 eV/atom
! * DOS at the Fermi energy: 1.83 states/eV/f.u.
! * magnetic moment: 0.0 μB per formula unit